Record 1
Computed, not measured: LiZrAg3 at its PBEsol-relaxed geometry at the SCAN level of DFT.

Summary:
* ΔH_f (0 K): 0.964 eV per atom

Geometry as POSCAR:
```
LiZrAg3
1.0
-5.1167 -0.8899 -0.4717
0.3662 -3.9189 3.4210
-0.9383 3.3235 3.9076
Zr Ag Li
1 3 1
Direct
0.0000 0.0000 0.0000
0.0000 0.5000 0.0000
0.0000 0.0000 0.5000
0.5000 0.0000 0.0000
0.5000 0.5000 0.5000
```

Record 2
Computed, not measured: TlSb2Pb at its PBEsol-relaxed geometry at the SCAN level of DFT.

Summary:
* ΔE_f (raw): 0.10 eV/atom

Geometry as POSCAR:
```
TlSb2Pb
1.0
3.3476 0.0000 0.0188
0.0000 5.0502 0.0000
-0.0475 0.0000 6.7780
Pb Sb Tl
1 2 1
Direct
0.5000 0.5000 0.5000
0.0005 0.0000 0.7263
0.9995 0.0000 0.2737
0.5000 0.5000 0.0000
```

Record 3
Computed, not measured: BaTlTc3 at its PBEsol-relaxed geometry at the SCAN level of DFT.

Summary:
* ΔH_f (0 K): 2.805 eV per atom

Geometry as POSCAR:
```
BaTlTc3
1.0
5.0267 0.0000 0.0000
0.0000 5.0267 0.0000
0.0000 0.0000 5.0267
Tl Ba Tc
1 1 3
Direct
0.5000 0.5000 0.5000
0.0000 0.0000 0.0000
0.0000 0.5000 0.0000
0.0000 0.0000 0.5000
0.5000 0.0000 0.0000
```

Record 4
Computed, not measured: YIn2Pb2 at its PBEsol-relaxed geometry at the SCAN level of DFT.

Summary:
* ΔH_f (0 K): -0.162 eV per atom

Geometry as POSCAR:
```
YIn2Pb2
1.0
-3.7900 -0.7673 1.6134
1.7732 -2.0776 3.1774
1.4308 8.3086 1.8715
Pb Y In
2 1 2
Direct
0.4054 0.4054 0.8108
0.5946 0.5946 0.1892
0.0000 0.0000 0.0000
0.2500 0.7500 0.5000
0.7500 0.2500 0.5000
```

Number 1: spin magnetization 1.0 μB per cell, E -122.372 eV per formula unit. Number 2: spin magnetization 0.0 μB per cell, E -222.250 eV per formula unit. Number 3: spin magnetization 7.6 μB per cell, E -203.065 eV per formula unit. Number 4: spin magnetization 0.0 μB per cell, E -246.989 eV per formula unit.